# CdHF, optimized geometry, DFT PBE-GGA
# * offset from the most stable computed form: 0.152 eV per atom
# * volume: 13.085 Å³ per atom
data_CdHF
_cell_length_a 3.3246
_cell_length_b 3.3246
_cell_length_c 4.1011
_cell_angle_alpha 90.00
_cell_angle_beta 90.00
_cell_angle_gamma 120.00
_space_group_name_H-M_alt 'P 3 m 1'
_space_group_IT_number 156
_space_group_name_Hall 'P 3 -2"'
loop_
_atom_site_label
_atom_site_type_symbol
_atom_site_fract_x
_atom_site_fract_y
_atom_site_fract_z
Cd1 Cd 0.0000 0.0000 0.0000
H1 H 0.3333 0.6667 0.1487
F1 F 0.6667 0.3333 0.6604